(1)
VASP calculation (PBE) on crystalline Th2ZrNbN5 at its relaxed geometry.

Cell: 3.4759 7.0988 10.5508 Å, 90.00 90.00 104.17°
Positions (direct):
1 Nb 0.5285 0.0571 0.9659
2 N 0.5092 0.0185 0.2814
3 Th 0.1119 0.2238 0.6881
4 Th 0.8560 0.7120 0.7919
5 N 0.4908 0.9815 0.7814
6 Th 0.1440 0.2880 0.2919
7 N 0.6269 0.2537 0.5031
8 N 0.3180 0.6360 0.3718
9 N 0.6820 0.3640 0.8718
10 N 0.2814 0.5628 0.6556
11 Nb 0.4715 0.9429 0.4659
12 N 0.9492 0.8983 0.5604
13 Th 0.8881 0.7762 0.1881
14 N 0.0508 0.1017 0.0604
15 N 0.3731 0.7463 0.0031
16 Zr 0.2145 0.4290 0.0058
17 N 0.7186 0.4372 0.1556
18 Zr 0.7855 0.5710 0.5058

## Properties
Energy relative to the elements, uncorrected   -1.420 eV per atom
DFT total energy   -9.763 eV per atom
Size of the total moment   0.000 μB/f.u.

---

(2)
VASP calculation (PBE) on crystalline TcW at its relaxed geometry.

Cell: 3.9534 3.9534 5.3088 Å, 90.00 90.00 120.00°
Positions (direct):
1 Tc 0.6667 0.3333 0.7500
2 Tc 0.3333 0.6667 0.2500
3 W 0.0000 0.0000 0.0000
4 W 0.0000 0.0000 0.5000

## Properties
Excess energy over the best structure of this formula in the dataset   865 meV/atom
DFT total energy   -10.730 eV per atom
Size of the total moment   0.000 μB/f.u.

---

(3)
VASP calculation (PBE) on crystalline Sm2GaP3Rh4 at its relaxed geometry.

Cell: 4.1071 4.1071 9.9423 Å, 90.00 90.00 90.00°
Positions (direct):
1 P 0.5000 0.0000 0.8651
2 Sm 0.5000 0.0000 0.2518
3 Rh 0.0000 0.0000 0.0000
4 Sm 0.0000 0.5000 0.7482
5 Rh 0.0000 0.5000 0.3671
6 P 0.0000 0.5000 0.1349
7 P 0.0000 0.0000 0.5000
8 Rh 0.5000 0.5000 0.0000
9 Rh 0.5000 0.0000 0.6329
10 Ga 0.5000 0.5000 0.5000

## Properties
DFT total energy   -6.849 eV per atom
Size of the total moment   0.000 μB/f.u.

---

(4)
VASP calculation (PBE) on crystalline TlClF2 at its relaxed geometry.

Cell: 9.2897 9.2897 9.2897 Å, 21.44 21.44 21.44°
Each line ends with the local moment (μB).
Positions (direct):
1 F 0.9232 0.9232 0.9232  0.11
2 Cl 0.5000 0.5000 0.5000  0.84
3 Tl 0.0000 0.0000 0.0000  0.04
4 F 0.0768 0.0768 0.0768  0.11

## Properties
Energy relative to the elements, uncorrected   -0.385 eV per atom
Excess energy over the best structure of this formula in the dataset   1011 meV/atom
DFT total energy   -2.374 eV per atom
Size of the total moment   1.402 μB/f.u.

---

(5)
VASP calculation (PBE) on crystalline Sr2Hg2Pb at its relaxed geometry.

Cell: 8.6712 8.6712 4.3224 Å, 90.00 90.00 90.00°
Positions (direct):
1 Hg 0.3778 0.8778 0.0000
2 Hg 0.1222 0.3778 0.0000
3 Hg 0.8778 0.6222 0.0000
4 Pb 0.5000 0.5000 0.0000
5 Sr 0.8225 0.3225 0.5000
6 Pb 0.0000 0.0000 0.0000
7 Sr 0.3225 0.1775 0.5000
8 Hg 0.6222 0.1222 0.0000
9 Sr 0.1775 0.6775 0.5000
10 Sr 0.6775 0.8225 0.5000

## Properties
Excess energy over the best structure of this formula in the dataset   0 meV/atom
DFT total energy   -2.020 eV per atom
Size of the total moment   0.000 μB/f.u.

---

(6)
VASP calculation (PBE) on crystalline Hf7Tl2Ga2 at its relaxed geometry.

Cell: 6.3740 6.5090 6.3740 Å, 89.98 102.37 90.02°
Positions (direct):
1 Hf 0.5002 0.7396 0.0001
2 Hf 0.4998 0.2604 0.9999
3 Ga 0.7219 0.0002 0.2781
4 Hf 0.5000 0.2534 0.5000
5 Hf 0.9999 0.7396 0.4998
6 Tl 0.1793 0.5000 0.1793
7 Ga 0.2781 0.9998 0.7219
8 Hf 0.5000 0.7466 0.5000
9 Hf 0.0000 0.0000 0.0000
10 Hf 0.0001 0.2604 0.5002
11 Tl 0.8207 0.5000 0.8207

## Properties
DFT total energy   -7.034 eV per atom
Size of the total moment   0.000 μB/f.u.

---

Q: Number 4 is which compound?
A: TlClF2

---

Q: Among the records above, which one has the highest DFT total energy?
A: Sr2Hg2Pb